Entry 1:
BaCuN2O, optimized geometry, DFT GGA-PBEsol; mass density = 6.24 Mg/m³; uncorrected formation energy = 0.192 eV per atom; spin magnetization = 0.56 μB per atom
1.0
3.8874 0.0000 0.0000
0.0000 3.8874 0.0000
0.0000 0.0000 4.3125
Ba Cu N O
1 1 2 1
direct
0.0000 0.0000 0.0000
0.5000 0.5000 0.5000
0.0000 0.5000 0.5000
0.5000 0.0000 0.5000
0.5000 0.5000 0.0000



Entry 2:
NaTa2H, optimized geometry, DFT GGA-PBEsol; mass density = 10.83 Mg/m³; total DFT energy (no corrections) = -0.213 hartree per atom; spin magnetization = 0.00 μB per atom
1.0
6.1848 0.0000 0.0000
0.0000 6.1848 0.0000
0.0000 0.0000 6.1848
Na Ta H
4 8 4
direct
0.0000 0.0000 0.0000
0.0000 0.5000 0.5000
0.5000 0.0000 0.5000
0.5000 0.5000 0.0000
0.2500 0.2500 0.2500
0.2500 0.2500 0.7500
0.2500 0.7500 0.2500
0.2500 0.7500 0.7500
0.7500 0.2500 0.2500
0.7500 0.2500 0.7500
0.7500 0.7500 0.2500
0.7500 0.7500 0.7500
0.0000 0.0000 0.5000
0.0000 0.5000 0.0000
0.5000 0.0000 0.0000
0.5000 0.5000 0.5000



Entry 3:
CdFeRe, optimized geometry, DFT GGA-PBEsol; mass density = 13.32 Mg/m³; formation energy = 0.586 eV/atom; spin magnetization = 0.72 μB per atom
1.0
4.3890 0.0000 0.0000
-2.1945 3.8010 0.0000
0.0000 0.0000 2.6497
Cd Fe Re
1 1 1
direct
0.0000 0.0000 0.0000
0.6667 0.3333 0.3508
0.3333 0.6667 0.5465



Entry 4:
Li2FeTeO6, optimized geometry, DFT GGA-PBEsol; mass density = 5.23 Mg/m³; uncorrected formation energy = -1.397 eV per atom; spin magnetization = 0.20 μB per atom
1.0
2.4907 1.4380 4.3314
-2.4907 1.4380 4.3314
0.0000 -2.8760 4.3314
Li Fe Te O
2 1 1 6
direct
0.0000 0.0000 0.0000
0.4951 0.4951 0.4951
0.2100 0.2100 0.2100
0.7107 0.7107 0.7107
0.0944 0.8327 0.4314
0.3239 0.5791 0.9498
0.4314 0.0944 0.8327
0.5791 0.9498 0.3239
0.8327 0.4314 0.0944
0.9498 0.3239 0.5791



Entry 5:
TeAsRuN2, optimized geometry, DFT GGA-PBEsol; mass density = 6.19 Mg/m³; uncorrected formation energy = 1.586 eV per atom; spin magnetization = 0.31 μB per atom
1.0
3.6603 0.0000 0.0000
0.0000 3.6603 0.0000
0.0000 0.0000 6.6448
Te As Ru N
1 1 1 2
direct
0.0000 0.0000 0.0000
0.0000 0.0000 0.5000
0.5000 0.5000 0.0000
0.0000 0.5000 0.5000
0.5000 0.0000 0.5000



Entry 6:
Ni4As, optimized geometry, DFT GGA-PBEsol; mass density = 9.44 Mg/m³; formation energy = -0.146 eV/atom; spin magnetization = 0.00 μB per atom
1.0
5.4610 0.0000 0.0000
0.0000 5.4610 0.0000
0.0000 0.0000 3.6529
Ni As
8 2
direct
0.1058 0.3052 0.0000
0.1948 0.6058 0.5000
0.3052 0.8942 0.0000
0.3942 0.1948 0.5000
0.6058 0.8052 0.5000
0.6948 0.1058 0.0000
0.8052 0.3942 0.5000
0.8942 0.6948 0.0000
0.0000 0.0000 0.5000
0.5000 0.5000 0.0000



Entry 7:
Ce2Ni3Ge5, optimized geometry, DFT GGA-PBEsol; mass density = 8.31 Mg/m³; formation energy = -0.691 eV/atom; spin magnetization = 0.05 μB per atom
1.0
-4.7948 5.8026 2.9442
4.7948 -5.8026 2.9442
4.7948 5.8026 -2.9442
Ce Ni Ge
4 6 10
direct
0.1329 0.2332 0.3661
0.3671 0.7332 0.1003
0.6329 0.2668 0.8997
0.8671 0.7668 0.6339
0.1378 0.8923 0.0301
0.2500 0.7500 0.5000
0.3622 0.3923 0.7545
0.6378 0.6077 0.2455
0.7500 0.2500 0.5000
0.8622 0.1077 0.9699
0.0195 0.7500 0.2695
0.0996 0.6566 0.7561
0.2500 0.2500 0.0000
0.4004 0.1566 0.5570
0.4805 0.7500 0.7305
0.5195 0.2500 0.2695
0.5996 0.8434 0.4430
0.7500 0.7500 0.0000
0.9004 0.3434 0.2439
0.9805 0.2500 0.7305



Entry 8:
K3In, optimized geometry, DFT GGA-PBEsol; mass density = 1.93 Mg/m³; formation energy = 0.042 eV/atom; spin magnetization = 0.00 μB per atom
1.0
9.6760 0.0000 0.0000
0.0000 11.2944 0.0000
0.0000 0.0000 7.3207
K In
12 4
direct
0.0260 0.2500 0.1021
0.1759 0.0551 0.6241
0.1759 0.4449 0.6241
0.3241 0.5551 0.1241
0.3241 0.9449 0.1241
0.4740 0.7500 0.6021
0.5260 0.2500 0.3979
0.6759 0.0551 0.8759
0.6759 0.4449 0.8759
0.8241 0.5551 0.3759
0.8241 0.9449 0.3759
0.9740 0.7500 0.8979
0.1197 0.7500 0.4159
0.3803 0.2500 0.9159
0.6197 0.7500 0.0841
0.8803 0.2500 0.5841



Entry 9:
RbCuTeS3, optimized geometry, DFT GGA-PBEsol; mass density = 4.23 Mg/m³; uncorrected formation energy = -0.447 eV per atom; spin magnetization = 0.00 μB per atom
1.0
7.3838 0.0000 0.0000
0.0000 10.4011 0.0000
-2.1100 0.0000 7.6209
Rb Cu Te S
4 4 4 12
direct
0.0237 0.2426 0.3817
0.0237 0.2574 0.8817
0.9763 0.7426 0.1183
0.9763 0.7574 0.6183
0.4223 0.7497 0.4822
0.4223 0.7503 0.9822
0.5777 0.2497 0.0178
0.5777 0.2503 0.5178
0.4492 0.5021 0.7364
0.4492 0.9979 0.2364
0.5508 0.0021 0.7636
0.5508 0.4979 0.2636
0.2485 0.5617 0.4535
0.2476 0.5626 0.9195
0.2476 0.9374 0.4195
0.2485 0.9383 0.9535
0.3944 0.2300 0.2232
0.3944 0.2700 0.7232
0.6056 0.7300 0.2768
0.6056 0.7700 0.7768
0.7515 0.0617 0.0465
0.7524 0.0626 0.5805
0.7524 0.4374 0.0805
0.7515 0.4383 0.5465



Entry 10:
ErBiPd, optimized geometry, DFT GGA-PBEsol; mass density = 11.23 Mg/m³; formation energy = -0.954 eV/atom; spin magnetization = 0.00 μB per atom
1.0
6.5840 0.0000 0.0000
0.0000 6.5840 0.0000
0.0000 0.0000 6.5840
Er Bi Pd
4 4 4
direct
0.0000 0.0000 0.0000
0.0000 0.5000 0.5000
0.5000 0.0000 0.5000
0.5000 0.5000 0.0000
0.0000 0.0000 0.5000
0.0000 0.5000 0.0000
0.5000 0.0000 0.0000
0.5000 0.5000 0.5000
0.2500 0.2500 0.2500
0.2500 0.7500 0.7500
0.7500 0.2500 0.7500
0.7500 0.7500 0.2500



Entry 11:
ErTaO4, optimized geometry, DFT GGA-PBEsol; mass density = 9.64 Mg/m³; uncorrected formation energy = -3.319 eV per atom; spin magnetization = 0.00 μB per atom
1.0
5.0711 0.0000 0.0000
0.0000 5.3720 0.0000
-0.5977 0.0000 5.2153
Er Ta O
2 2 8
direct
0.0000 0.2350 0.2500
0.0000 0.7650 0.7500
0.5000 0.3024 0.7500
0.5000 0.6976 0.2500
0.2485 0.0763 0.5960
0.2485 0.9237 0.0960
0.2641 0.4407 0.9900
0.2641 0.5593 0.4900
0.7359 0.4407 0.5100
0.7359 0.5593 0.0100
0.7515 0.0763 0.9040
0.7515 0.9237 0.4040



Entry 12:
Nb2TcSbCl, optimized geometry, DFT GGA-PBEsol; mass density = 5.52 Mg/m³; uncorrected formation energy = 2.089 eV per atom; spin magnetization = 0.01 μB per atom
1.0
5.1925 0.0000 0.0000
0.0000 5.1925 0.0000
0.0000 0.0000 4.9233
Nb Tc Sb Cl
2 1 1 1
direct
0.0000 0.5000 0.0000
0.5000 0.0000 0.0000
0.0000 0.0000 0.5000
0.5000 0.5000 0.0000
0.5000 0.5000 0.5000



Entry 13:
Li2NiRuAu, optimized geometry, DFT GGA-PBEsol; mass density = 7.45 Mg/m³; formation energy = 1.017 eV/atom; spin magnetization = 0.00 μB per atom
1.0
4.3814 0.0000 0.0000
0.0000 4.3814 0.0000
0.0000 0.0000 4.3048
Li Ni Ru Au
2 1 1 1
direct
0.0000 0.5000 0.0000
0.5000 0.0000 0.0000
0.0000 0.0000 0.5000
0.0000 0.0000 0.0000
0.5000 0.5000 0.5000



Entry 14:
BaH2RuI, optimized geometry, DFT GGA-PBEsol; mass density = 5.57 Mg/m³; total DFT energy (no corrections) = -0.134 hartree per atom; spin magnetization = 0.27 μB per atom
1.0
4.4217 0.0000 0.0000
0.0000 4.4217 0.0000
0.0000 0.0000 5.5979
Ba H Ru I
1 2 1 1
direct
0.0000 0.0000 0.0000
0.0000 0.5000 0.5000
0.5000 0.0000 0.5000
0.0000 0.0000 0.5000
0.5000 0.5000 0.0000



Entry 15:
Li2TcPt, optimized geometry, DFT GGA-PBEsol; mass density = 9.27 Mg/m³; energy above the most stable polymorph in this dataset = 147 meV per atom; formation energy = 0.087 eV/atom; spin magnetization = 0.00 μB per atom
1.0
2.5580 0.0000 0.0000
0.0000 4.2310 0.0000
0.0000 0.0000 5.0810
Li Tc Pt
2 1 1
direct
0.0000 0.0000 0.2459
0.0000 0.0000 0.7541
0.5000 0.5000 0.5000
0.5000 0.5000 0.0000



Entry 16:
MnWAu, optimized geometry, DFT GGA-PBEsol; mass density = 14.79 Mg/m³; energy above the most stable polymorph in this dataset = 0 meV per atom; formation energy = 0.784 eV/atom; spin magnetization = 0.16 μB per atom
1.0
5.8058 0.0000 0.0000
0.0000 5.8058 0.0000
0.0000 0.0000 5.8058
Mn W Au
4 4 4
direct
0.0000 0.0000 0.0000
0.0000 0.5000 0.5000
0.5000 0.0000 0.5000
0.5000 0.5000 0.0000
0.2500 0.2500 0.7500
0.2500 0.7500 0.2500
0.7500 0.2500 0.2500
0.7500 0.7500 0.7500
0.2500 0.2500 0.2500
0.2500 0.7500 0.7500
0.7500 0.2500 0.7500
0.7500 0.7500 0.2500



Entry 17:
TlSi2Au, optimized geometry, DFT GGA-PBEsol; mass density = 9.10 Mg/m³; energy above the most stable polymorph in this dataset = 155 meV per atom; uncorrected formation energy = 0.303 eV per atom; spin magnetization = 0.00 μB per atom
1.0
4.4073 0.0000 0.0000
0.0000 4.4073 0.0000
0.0000 0.0000 17.1850
Tl Si Au
4 8 4
direct
0.0000 0.0000 0.0000
0.0000 0.5000 0.2500
0.5000 0.0000 0.7500
0.5000 0.5000 0.5000
0.1450 0.2500 0.6250
0.2500 0.6450 0.8750
0.2500 0.8550 0.3750
0.3550 0.2500 0.1250
0.6450 0.7500 0.1250
0.7500 0.1450 0.3750
0.7500 0.3550 0.8750
0.8550 0.7500 0.6250
0.0000 0.0000 0.5000
0.0000 0.5000 0.7500
0.5000 0.0000 0.2500
0.5000 0.5000 0.0000



Entry 18:
Cd2SiP, optimized geometry, DFT GGA-PBEsol; mass density = 6.24 Mg/m³; energy above the most stable polymorph in this dataset = 0 meV per atom; uncorrected formation energy = 0.377 eV per atom; spin magnetization = 0.00 μB per atom
1.0
5.3724 0.0000 0.0000
0.0000 7.5528 0.0000
0.0000 0.0000 3.7220
Cd Si P
4 2 2
direct
0.2500 0.2500 0.0000
0.2500 0.7500 0.0000
0.7500 0.2500 0.0000
0.7500 0.7500 0.0000
0.0000 0.0000 0.5000
0.5000 0.5000 0.5000
0.0000 0.5000 0.5000
0.5000 0.0000 0.5000



Entry 19:
KC2F, optimized geometry, DFT GGA-PBEsol; mass density = 2.16 Mg/m³; uncorrected formation energy = 2.653 eV per atom; spin magnetization = 0.96 μB per atom
1.0
6.3189 0.0000 0.0000
0.0000 6.3189 0.0000
0.0000 0.0000 6.3189
K C F
4 8 4
direct
0.0000 0.0000 0.0000
0.0000 0.5000 0.5000
0.5000 0.0000 0.5000
0.5000 0.5000 0.0000
0.2500 0.2500 0.2500
0.2500 0.2500 0.7500
0.2500 0.7500 0.2500
0.2500 0.7500 0.7500
0.7500 0.2500 0.2500
0.7500 0.2500 0.7500
0.7500 0.7500 0.2500
0.7500 0.7500 0.7500
0.0000 0.0000 0.5000
0.0000 0.5000 0.0000
0.5000 0.0000 0.0000
0.5000 0.5000 0.5000



Entry 20:
LiTi2P2, optimized geometry, DFT GGA-PBEsol; mass density = 3.92 Mg/m³; formation energy = -0.975 eV/atom; spin magnetization = 0.00 μB per atom
1.0
6.4985 0.0000 0.0000
0.0000 6.4985 0.0000
0.0000 0.0000 3.3025
Li Ti P
2 4 4
direct
0.0000 0.0000 0.0000
0.5000 0.5000 0.0000
0.1536 0.3464 0.5000
0.3464 0.8464 0.5000
0.6536 0.1536 0.5000
0.8464 0.6536 0.5000
0.1436 0.6436 0.0000
0.3564 0.1436 0.0000
0.6436 0.8564 0.0000
0.8564 0.3564 0.0000